# NaPuC

A relaxed structure of NaPuC (PBE, the Alexandria database).

Output
Total magnetization ... 0.000 μB per formula unit
Calculated volume ... 233 Å³ per cell
Formation energy from the elements ... 0.469 eV/atom

abc: 6.1494 3.6995 10.6457
angles: 90.00 106.10 90.00
Space group C2/m (No. 12)
Asymmetric unit:
Na: 0.0886 0.0000 0.3382 x4
Pu: 0.2081 0.5000 0.9271 x4
C: 0.1714 0.5000 0.1618 x4